*w*
This record from Alexandria via LeMat-Bulk describes a relaxed structure of Ti4FeBi. The functional is PBE.

Geometry as extended XYZ:
```
12
Lattice="4.783 0.000 0.000 0.000 4.783 0.000 -0.001 0.000 9.104" Properties=species:S:1:pos:R:3 pbc="T T T"
Ti 2.391 4.783 7.455
Ti 0.000 0.000 5.946
Ti 2.391 2.391 5.946
Ti 4.783 2.391 1.650
Ti 4.783 4.783 3.159
Ti 2.391 2.392 3.159
Ti 0.000 2.392 7.455
Ti 2.391 0.000 1.649
Fe 2.391 0.000 4.552
Fe 0.000 2.392 4.552
Bi 0.000 0.000 0.000
Bi 2.392 2.392 0.000
```

*x*
This record from Alexandria via LeMat-Bulk describes a relaxed structure of Ti4FeBi. The functional is PBE.

Geometry as extended XYZ:
```
12
Lattice="-3.907 -2.941 -0.184 1.633 -2.458 4.606 -2.395 6.966 4.567" Properties=species:S:1:pos:R:3 pbc="T T T"
Ti -4.898 2.124 4.964
Ti -2.741 -0.701 4.331
Ti -3.565 0.540 2.006
Ti 0.466 -0.912 4.690
Ti -1.833 -1.749 1.810
Ti -2.599 2.961 7.843
Ti -1.691 1.913 5.323
Ti -2.500 3.130 3.042
Bi -0.711 0.772 2.758
Bi -3.721 0.440 6.896
Fe -3.109 3.803 5.225
Fe -1.324 -2.590 4.428
```

So which one is most stable? That would be *w*, about 85 meV per atom below the next structure.

*w*
This record from Alexandria via LeMat-Bulk describes a relaxed structure of TlFe2Bi2. The functional is PBE.

Geometry as extended XYZ:
```
10
Lattice="-0.172 4.246 -6.544 2.949 -6.025 -3.987 -3.084 -1.094 -0.629" Properties=species:S:1:pos:R:3 pbc="T T T"
Fe 1.721 -0.141 -8.195
Fe 1.057 -1.637 -2.336
Fe 0.286 1.885 -4.682
Fe 2.492 -3.663 -5.849
Bi 0.845 -2.883 -7.963
Bi -1.152 0.011 -3.197
Bi -0.663 0.958 -7.247
Bi 0.356 -3.830 -3.913
Tl 0.000 0.000 0.000
Tl 1.389 -0.889 -5.265
```

*x*
This record from Alexandria via LeMat-Bulk describes a relaxed structure of TlFe2Bi2. The functional is PBE.

Geometry as extended XYZ:
```
5
Lattice="5.052 0.000 0.000 0.000 5.052 0.000 2.526 2.526 4.770" Properties=species:S:1:pos:R:3 pbc="T T T"
Bi 5.052 2.526 2.385
Bi 2.526 5.052 2.385
Tl 0.000 0.000 0.000
Fe 5.052 5.052 3.679
Fe 2.526 2.526 1.091
```

So which one is most stable? That would be *x*, about 150 meV per atom below the next structure.

*w*
This record from Alexandria via LeMat-Bulk describes a relaxed structure of Tm4FeBi. The functional is PBE.

Geometry as extended XYZ:
```
12
Lattice="-2.618 -0.019 5.362 -6.144 1.341 -4.769 2.651 -7.416 -0.505" Properties=species:S:1:pos:R:3 pbc="T T T"
Bi -1.271 -4.168 -0.749
Bi -4.840 -1.927 0.836
Tm -4.124 -3.802 -2.201
Tm -5.251 -0.717 -4.320
Tm -1.940 -1.026 -1.004
Tm -0.603 -6.658 1.249
Tm -5.508 0.563 -1.161
Tm -1.987 -2.292 2.288
Tm -4.171 -5.068 1.092
Tm -0.860 -5.377 4.408
Fe -8.102 1.322 -0.745
Fe 1.992 -7.416 0.833
```

*x*
This record from Alexandria via LeMat-Bulk describes a relaxed structure of Tm4FeBi. The functional is PBE.

Geometry as extended XYZ:
```
12
Lattice="5.060 0.000 0.000 -2.530 10.532 -1.653 0.000 -4.966 7.871" Properties=species:S:1:pos:R:3 pbc="T T T"
Tm 2.530 6.660 4.222
Tm 2.530 -1.088 4.738
Tm 0.000 6.655 1.480
Tm 2.530 6.317 -0.813
Tm 0.000 1.587 4.392
Tm 0.000 -0.751 7.031
Tm 0.000 -1.094 1.997
Tm 2.530 3.980 1.827
Fe 2.530 6.875 1.724
Fe 0.000 -1.309 4.494
Bi 0.000 1.981 1.280
Bi 2.530 3.585 4.938
```

So which one is most stable? That would be *w*, about 270 meV per atom below the next structure.

*w*
This record from Alexandria via LeMat-Bulk describes a relaxed structure of FeBi3W. The functional is PBE.

Geometry as extended XYZ:
```
5
Lattice="-5.366 0.549 0.135 -0.269 -1.347 -5.217 -0.497 -5.195 1.367" Properties=species:S:1:pos:R:3 pbc="T T T"
Bi -0.134 -0.674 -2.609
Bi -0.249 -2.598 0.684
Bi -2.683 0.274 0.067
Fe -3.066 -2.997 -1.858
W 0.000 0.000 0.000
```

*x*
This record from Alexandria via LeMat-Bulk describes a relaxed structure of FeBi3W. The functional is PBE.

Geometry as extended XYZ:
```
5
Lattice="5.065 0.000 0.000 0.000 5.065 0.000 0.000 0.000 5.065" Properties=species:S:1:pos:R:3 pbc="T T T"
Bi 0.000 0.000 2.532
Bi 2.532 0.000 0.000
Bi 0.000 2.532 0.000
Fe 0.000 0.000 0.000
W 2.532 2.532 2.532
```

So which one is most stable? That would be *w*, about 55 meV per atom below the next structure.

*w*
This record from Alexandria via LeMat-Bulk describes a relaxed structure of FeBi2W. The functional is PBE.

Geometry as extended XYZ:
```
8
Lattice="-6.096 2.009 0.801 -2.062 -6.121 -0.343 -3.484 -2.585 6.087" Properties=species:S:1:pos:R:3 pbc="T T T"
Bi -4.882 -0.175 1.972
Bi -5.691 -3.538 4.734
Bi -2.978 -4.202 1.415
Bi -9.732 -5.480 4.969
W 0.000 0.000 0.000
W -6.829 -1.316 3.558
Fe -4.812 -5.381 2.987
Fe -4.079 -2.056 0.229
```

*x*
This record from Alexandria via LeMat-Bulk describes a relaxed structure of FeBi2W. The functional is PBE.

Geometry as extended XYZ:
```
4
Lattice="3.715 -2.757 1.246 2.545 1.039 3.924 -0.297 -2.818 3.863" Properties=species:S:1:pos:R:3 pbc="T T T"
W 2.981 -2.268 4.517
Fe 0.000 0.000 0.000
Bi 1.491 -1.134 2.258
Bi 4.472 -3.401 6.775
```

So which one is most stable? That would be *x*, about 421 meV per atom below the next structure.

*w*
This record from Alexandria via LeMat-Bulk describes a relaxed structure of YFeBi3. The functional is PBE.

Geometry as extended XYZ:
```
5
Lattice="-0.315 -0.598 -5.141 -4.821 -1.840 0.510 -1.883 4.811 -0.444" Properties=species:S:1:pos:R:3 pbc="T T T"
Fe 0.000 0.000 0.000
Bi -2.410 -0.920 0.255
Bi -0.941 2.405 -0.222
Bi -0.158 -0.299 -2.570
Y -3.509 1.186 -2.538
```

*x*
This record from Alexandria via LeMat-Bulk describes a relaxed structure of YFeBi3. The functional is PBE.

Geometry as extended XYZ:
```
5
Lattice="5.841 0.000 0.000 0.000 5.841 0.000 0.000 0.000 5.841" Properties=species:S:1:pos:R:3 pbc="T T T"
Bi 0.000 2.921 0.000
Bi 0.000 0.000 2.921
Bi 2.921 0.000 0.000
Fe 2.921 2.921 2.921
Y 0.000 0.000 0.000
```

So which one is most stable? That would be *w*, about 685 meV per atom below the next structure.

*w*
This record from Alexandria via LeMat-Bulk describes a relaxed structure of YFeBi2. The functional is PBE.

Geometry as extended XYZ:
```
4
Lattice="1.093 -3.603 -3.473 -3.150 -3.990 -0.629 -2.819 -0.391 -4.259" Properties=species:S:1:pos:R:3 pbc="T T T"
Fe 0.000 0.000 0.000
Y -2.438 -3.992 -4.181
Bi -1.219 -1.996 -2.090
Bi -3.657 -5.988 -6.271
```

*x*
This record from Alexandria via LeMat-Bulk describes a relaxed structure of YFeBi2. The functional is PBE.

Geometry as extended XYZ:
```
8
Lattice="-4.638 -0.078 2.709 -1.267 -4.684 -2.304 0.757 -6.451 6.437" Properties=species:S:1:pos:R:3 pbc="T T T"
Y -3.417 -4.455 4.674
Y 0.000 0.000 0.000
Bi -2.438 -2.240 2.763
Bi -1.764 -7.058 4.766
Bi -1.612 -4.557 0.759
Bi -4.481 -8.571 5.396
Fe -2.952 -2.381 0.202
Fe -1.731 -6.758 2.168
```

So which one is most stable? That would be *w*, about 188 meV per atom below the next structure.

*w*
This record from Alexandria via LeMat-Bulk describes a relaxed structure of ZrFeBi3. The functional is PBE.

Geometry as extended XYZ:
```
5
Lattice="5.102 0.000 0.000 0.000 5.102 0.000 0.000 0.000 5.102" Properties=species:S:1:pos:R:3 pbc="T T T"
Bi 2.551 0.000 0.000
Bi 0.000 0.000 2.551
Bi 0.000 2.551 0.000
Zr 2.551 2.551 2.551
Fe 0.000 0.000 0.000
```

*x*
This record from Alexandria via LeMat-Bulk describes a relaxed structure of ZrFeBi3. The functional is PBE.

Geometry as extended XYZ:
```
5
Lattice="5.639 0.000 0.000 0.000 5.639 0.000 0.000 0.000 5.639" Properties=species:S:1:pos:R:3 pbc="T T T"
Fe 2.820 2.820 2.820
Zr 0.000 0.000 0.000
Bi 0.000 0.000 2.820
Bi 2.820 0.000 0.000
Bi 0.000 2.820 0.000
```

So which one is most stable? That would be *w*, about 239 meV per atom below the next structure.